Compound: CuAgSb2
Source: the Alexandria database
Functional: PBE
Structure: relaxed

abc: 4.945 4.945 4.945
angles: 60.00 60.00 60.00
Atoms (fractional coordinates):
Cu: 0.000 0.000 0.000
Ag: 0.500 0.500 0.500
Sb: 0.250 0.250 0.250
Sb: 0.750 0.750 0.750

Results
Density of states at the Fermi level in states/eV/cell: 2.6
Energy relative to the elements, uncorrected in meV per atom: 286.4
M_tot in μB per atom: 0.000
Relative energy among the computed polymorphs in meV per atom: 162
Symmetry: No. 225



Compound: CuAgSb
Source: the Alexandria database
Functional: PBE
Structure: relaxed

abc: 4.403 4.403 4.403
angles: 60.00 60.00 60.00
Atoms (fractional coordinates):
Cu: 0.000 0.000 0.000
Ag: 0.750 0.750 0.750
Sb: 0.250 0.250 0.250

Results
Density of states at the Fermi level in states/eV/cell: 1.7
Energy relative to the elements, uncorrected in meV per atom: 43.9
M_tot in μB per atom: 0.000
Relative energy among the computed polymorphs in meV per atom: 0
Symmetry: No. 216